[1]
Compound: TbPdF5
Source: Alexandria via LeMat-Bulk
Functional: PBE-GGA
Structure: optimized geometry

Lattice parameters (Å, degrees): 4.398 5.335 5.854 91.88 99.47 109.77
Space group P-1 (No. 2)
Inequivalent atoms, fractional coordinates:
Tb (0.000, 0.000, 0.000) [1 per cell]
Pd (0.000, 0.500, 0.500) [1 per cell]
F (0.104, 0.354, 0.802) [2 per cell]
F (0.169, 0.254, 0.335) [2 per cell]
F (0.500, 0.000, 0.000) [1 per cell]

Calculated values
Calculated total energy, Ry/atom: -0.408
E_form (uncorrected), meV/atom: -2814

[2]
Compound: VTcCl
Source: Alexandria via LeMat-Bulk
Functional: PBE-GGA
Structure: optimized geometry

Lattice parameters (Å, degrees): 3.1086 3.1086 17.9081 90.00 90.00 120.00
Space group R3m (No. 160, hexagonal axes)
Inequivalent atoms, fractional coordinates:
V (0.0000, 0.0000, 0.0000) [3 per cell]
Tc (0.0000, 0.0000, 0.5801) [3 per cell]
Cl (0.0000, 0.0000, 0.4346) [3 per cell]

Calculated values
Relative energy among the computed polymorphs, eV/f.u.: 0.60
Calculated total energy, Ry/atom: -0.539
Density of states at the Fermi level, states/eV per cell: 1.5
E_form (uncorrected), meV/atom: -220

[3]
Compound: LiHoPuOs
Source: Alexandria via LeMat-Bulk
Functional: PBE-GGA
Structure: optimized geometry

Lattice parameters (Å, degrees): 6.880 6.880 6.880 90.00 90.00 90.00
Space group F-43m (No. 216)
Inequivalent atoms, fractional coordinates:
Li (0.000, 0.000, 0.000) [4 per cell]
Ho (0.250, 0.250, 0.250) [4 per cell]
Pu (0.250, 0.250, 0.750) [4 per cell]
Os (0.000, 0.000, 0.500) [4 per cell]

Calculated values
E_form, eV/atom: -0.078
Calculated total energy, Ry/atom: -0.595
Density of states at the Fermi level, states/eV per cell: 35.1

Question: The lowest calculated total energy belongs to which entry?
Answer: LiHoPuOs